[1]
# Zr2CdBi, optimized geometry, DFT PBE
# Calculated density, g cm⁻³: 9.0
# Calculated volume, Å³ per cell: 371.5
# DFT total energy, eV per atom: -5.649
data_Zr2CdBi
_space_group_name_H-M_alt 'P 1'
_space_group_IT_number 1
_space_group_name_Hall 'P 1'
_cell_length_a 4.3224
_cell_length_b 9.8012
_cell_length_c 8.7696
_cell_angle_alpha 90.00
_cell_angle_beta 90.00
_cell_angle_gamma 90.00
loop_
_atom_site_label
_atom_site_fract_x
_atom_site_fract_y
_atom_site_fract_z
_atom_site_occupancy
Bi1 0.5000 0.7704 0.9727 1
Bi2 0.5000 0.2296 0.9727 1
Bi3 0.5000 0.2704 0.4727 1
Bi4 0.5000 0.7296 0.4727 1
Zr1 0.5000 0.0000 0.2338 1
Zr2 0.5000 0.5000 0.7338 1
Zr3 0.0000 0.7485 0.7227 1
Zr4 0.0000 0.2515 0.7227 1
Zr5 0.0000 0.2485 0.2227 1
Zr6 0.0000 0.7515 0.2227 1
Zr7 0.0000 0.0000 0.9642 1
Zr8 0.0000 0.5000 0.4642 1
Cd1 0.5000 0.0000 0.7036 1
Cd2 0.5000 0.5000 0.2036 1
Cd3 0.0000 0.0000 0.4736 1
Cd4 0.0000 0.5000 0.9736 1

***

[2]
# ZrCd2Bi2, optimized geometry, DFT PBE
# Calculated density, g cm⁻³: 9.0
# Calculated volume, Å³ per cell: 272.0
# DFT total energy, eV per atom: -3.498
data_ZrCd2Bi2
_space_group_name_H-M_alt 'P 1'
_space_group_IT_number 1
_space_group_name_Hall 'P 1'
_cell_length_a 7.9480
_cell_length_b 7.9480
_cell_length_c 4.3051
_cell_angle_alpha 90.00
_cell_angle_beta 90.00
_cell_angle_gamma 90.00
loop_
_atom_site_label
_atom_site_fract_x
_atom_site_fract_y
_atom_site_fract_z
_atom_site_occupancy
Bi1 0.3450 0.8450 0.0000 1
Bi2 0.8450 0.6550 0.0000 1
Bi3 0.6550 0.1550 0.0000 1
Bi4 0.1550 0.3450 0.0000 1
Zr1 0.0000 0.0000 0.0000 1
Zr2 0.5000 0.5000 0.0000 1
Cd1 0.1539 0.6539 0.5000 1
Cd2 0.6539 0.8461 0.5000 1
Cd3 0.8461 0.3461 0.5000 1
Cd4 0.3461 0.1539 0.5000 1

***

[3]
# ZrCd3Bi, optimized geometry, DFT PBE
# Calculated density, g cm⁻³: 6.0
# Calculated volume, Å³ per cell: 176.1
# DFT total energy, eV per atom: -2.003
data_ZrCd3Bi
_space_group_name_H-M_alt 'P 1'
_space_group_IT_number 1
_space_group_name_Hall 'P 1'
_cell_length_a 5.6057
_cell_length_b 5.6057
_cell_length_c 5.6057
_cell_angle_alpha 90.00
_cell_angle_beta 90.00
_cell_angle_gamma 90.00
loop_
_atom_site_label
_atom_site_fract_x
_atom_site_fract_y
_atom_site_fract_z
_atom_site_occupancy
Bi1 0.0000 0.0000 0.0000 1
Zr1 0.5000 0.5000 0.5000 1
Cd1 0.0000 0.5000 0.0000 1
Cd2 0.0000 0.0000 0.5000 1
Cd3 0.5000 0.0000 0.0000 1

***

[4]
# Ce5Bi, optimized geometry, DFT PBE
# Calculated density, g cm⁻³: 9.3
# Calculated volume, Å³ per cell: 161.6
# DFT total energy, eV per atom: -5.712
data_Ce5Bi
_space_group_name_H-M_alt 'P 1'
_space_group_IT_number 1
_space_group_name_Hall 'P 1'
_cell_length_a 5.2993
_cell_length_b 5.4712
_cell_length_c 6.4259
_cell_angle_alpha 83.33
_cell_angle_beta 90.00
_cell_angle_gamma 118.97
loop_
_atom_site_label
_atom_site_fract_x
_atom_site_fract_y
_atom_site_fract_z
_atom_site_occupancy
Ce1 0.9939 0.9878 0.1562 1
Ce2 0.6945 0.3889 0.3889 1
Ce3 0.3950 0.7900 0.6216 1
Ce4 0.3453 0.6907 0.2127 1
Ce5 0.0435 0.0871 0.5651 1
Bi1 0.6944 0.3889 0.8889 1

***

[5]
# Ce6Bi, optimized geometry, DFT PBE
# Calculated density, g cm⁻³: 7.9
# Calculated volume, Å³ per cell: 219.5
# DFT total energy, eV per atom: -4.929
data_Ce6Bi
_space_group_name_H-M_alt 'P 1'
_space_group_IT_number 1
_space_group_name_Hall 'P 1'
_cell_length_a 6.5822
_cell_length_b 6.5822
_cell_length_c 6.5822
_cell_angle_alpha 109.47
_cell_angle_beta 109.47
_cell_angle_gamma 109.47
loop_
_atom_site_label
_atom_site_fract_x
_atom_site_fract_y
_atom_site_fract_z
_atom_site_occupancy
Ce1 0.2500 0.7500 0.5000 1
Ce2 0.5000 0.7500 0.2500 1
Ce3 0.2500 0.5000 0.7500 1
Ce4 0.7500 0.2500 0.5000 1
Ce5 0.5000 0.2500 0.7500 1
Ce6 0.7500 0.5000 0.2500 1
Bi1 0.0000 0.0000 0.0000 1

***

[6]
# Ce4Bi5, optimized geometry, DFT PBE
# Calculated density, g cm⁻³: 9.2
# Calculated volume, Å³ per cell: 290.5
# DFT total energy, eV per atom: -5.256
data_Ce4Bi5
_space_group_name_H-M_alt 'P 1'
_space_group_IT_number 1
_space_group_name_Hall 'P 1'
_cell_length_a 4.7510
_cell_length_b 8.1727
_cell_length_c 8.1727
_cell_angle_alpha 85.15
_cell_angle_beta 73.10
_cell_angle_gamma 73.10
loop_
_atom_site_label
_atom_site_fract_x
_atom_site_fract_y
_atom_site_fract_z
_atom_site_occupancy
Ce1 0.6714 0.0000 0.6571 1
Ce2 0.3286 0.3429 0.0000 1
Ce3 0.3286 0.0000 0.3429 1
Ce4 0.6714 0.6571 0.0000 1
Bi1 0.7032 0.2968 0.2968 1
Bi2 0.2968 0.7032 0.7032 1
Bi3 0.0000 0.0000 0.0000 1
Bi4 0.0000 0.7032 0.2968 1
Bi5 0.0000 0.2968 0.7032 1

***

[7]
# Ce5Bi, optimized geometry, DFT PBE
# Calculated density, g cm⁻³: 9.1
# Calculated volume, Å³ per cell: 166.2
# DFT total energy, eV per atom: -5.785
data_Ce5Bi
_space_group_name_H-M_alt 'P 1'
_space_group_IT_number 1
_space_group_name_Hall 'P 1'
_cell_length_a 4.7129
_cell_length_b 4.6953
_cell_length_c 7.8679
_cell_angle_alpha 107.36
_cell_angle_beta 90.00
_cell_angle_gamma 90.00
loop_
_atom_site_label
_atom_site_fract_x
_atom_site_fract_y
_atom_site_fract_z
_atom_site_occupancy
Bi1 0.0000 0.0000 0.0000 1
Ce1 0.5000 0.8336 0.6672 1
Ce2 0.0000 0.6679 0.3359 1
Ce3 0.5000 0.5000 0.0000 1
Ce4 0.0000 0.3321 0.6641 1
Ce5 0.5000 0.1664 0.3328 1

***

[8]
# Ce3Bi, optimized geometry, DFT PBE
# Calculated density, g cm⁻³: 9.3
# Calculated volume, Å³ per cell: 112.3
# DFT total energy, eV per atom: -5.827
data_Ce3Bi
_space_group_name_H-M_alt 'P 1'
_space_group_IT_number 1
_space_group_name_Hall 'P 1'
_cell_length_a 4.8249
_cell_length_b 4.8246
_cell_length_c 4.8244
_cell_angle_alpha 90.00
_cell_angle_beta 90.00
_cell_angle_gamma 90.00
loop_
_atom_site_label
_atom_site_fract_x
_atom_site_fract_y
_atom_site_fract_z
_atom_site_occupancy
Bi1 0.0000 0.5000 0.4167 1
Ce1 0.0000 0.0000 0.9167 1
Ce2 0.5000 0.0000 0.4166 1
Ce3 0.5000 0.5000 0.9167 1

***

[9]
# CeBi2, optimized geometry, DFT PBE
# Calculated density, g cm⁻³: 9.3
# Calculated volume, Å³ per cell: 198.4
# DFT total energy, eV per atom: -4.741
data_CeBi2
_space_group_name_H-M_alt 'P 1'
_space_group_IT_number 1
_space_group_name_Hall 'P 1'
_cell_length_a 6.5471
_cell_length_b 6.5471
_cell_length_c 6.5471
_cell_angle_alpha 60.00
_cell_angle_beta 60.00
_cell_angle_gamma 60.00
loop_
_atom_site_label
_atom_site_fract_x
_atom_site_fract_y
_atom_site_fract_z
_atom_site_occupancy
Bi1 0.1250 0.6250 0.6250 1
Bi2 0.6250 0.1250 0.6250 1
Bi3 0.6250 0.6250 0.6250 1
Bi4 0.6250 0.6250 0.1250 1
Ce1 0.0000 0.0000 0.0000 1
Ce2 0.2500 0.2500 0.2500 1

***

[10]
# Ce3Bi5, optimized geometry, DFT PBE
# Calculated density, g cm⁻³: 9.8
# Calculated volume, Å³ per cell: 248.1
# DFT total energy, eV per atom: -5.184
data_Ce3Bi5
_space_group_name_H-M_alt 'P 1'
_space_group_IT_number 1
_space_group_name_Hall 'P 1'
_cell_length_a 6.6659
_cell_length_b 6.6659
_cell_length_c 5.7923
_cell_angle_alpha 90.00
_cell_angle_beta 90.00
_cell_angle_gamma 105.39
loop_
_atom_site_label
_atom_site_fract_x
_atom_site_fract_y
_atom_site_fract_z
_atom_site_occupancy
Ce1 0.5000 0.5000 0.0000 1
Ce2 0.2143 0.7857 0.5000 1
Ce3 0.7857 0.2143 0.5000 1
Bi1 0.0000 0.0000 0.0000 1
Bi2 0.5000 0.0000 0.0000 1
Bi3 0.0000 0.5000 0.0000 1
Bi4 0.2974 0.2974 0.5000 1
Bi5 0.7026 0.7026 0.5000 1

***

[11]
# Ce4Bi3, optimized geometry, DFT PBE
# Calculated density, g cm⁻³: 8.7
# Calculated volume, Å³ per cell: 451.4
# DFT total energy, eV per atom: -5.717
data_Ce4Bi3
_space_group_name_H-M_alt 'P 1'
_space_group_IT_number 1
_space_group_name_Hall 'P 1'
_cell_length_a 8.2557
_cell_length_b 8.4092
_cell_length_c 8.4092
_cell_angle_alpha 109.84
_cell_angle_beta 109.10
_cell_angle_gamma 109.10
loop_
_atom_site_label
_atom_site_fract_x
_atom_site_fract_y
_atom_site_fract_z
_atom_site_occupancy
Ce1 0.5000 0.0000 0.0000 1
Ce2 0.0000 0.0000 0.0000 1
Ce3 0.8471 0.6360 0.4870 1
Ce4 0.3602 0.5130 0.1490 1
Ce5 0.2111 0.8510 0.3640 1
Ce6 0.1529 0.3640 0.5130 1
Ce7 0.6398 0.4870 0.8510 1
Ce8 0.7889 0.1490 0.6360 1
Bi1 0.0911 0.6312 0.8745 1
Bi2 0.2165 0.1255 0.7567 1
Bi3 0.4598 0.2433 0.3688 1
Bi4 0.9089 0.3688 0.1255 1
Bi5 0.7835 0.8745 0.2433 1
Bi6 0.5402 0.7567 0.6312 1

***

[12]
# CeBi6, optimized geometry, DFT PBE
# Calculated density, g cm⁻³: 6.9
# Calculated volume, Å³ per cell: 336.4
# DFT total energy, eV per atom: -3.681
data_CeBi6
_space_group_name_H-M_alt 'P 1'
_space_group_IT_number 1
_space_group_name_Hall 'P 1'
_cell_length_a 7.5885
_cell_length_b 7.5885
_cell_length_c 7.5885
_cell_angle_alpha 109.47
_cell_angle_beta 109.47
_cell_angle_gamma 109.47
loop_
_atom_site_label
_atom_site_fract_x
_atom_site_fract_y
_atom_site_fract_z
_atom_site_occupancy
Ce1 0.0000 0.0000 0.0000 1
Bi1 0.2500 0.7500 0.5000 1
Bi2 0.5000 0.7500 0.2500 1
Bi3 0.2500 0.5000 0.7500 1
Bi4 0.7500 0.2500 0.5000 1
Bi5 0.5000 0.2500 0.7500 1
Bi6 0.7500 0.5000 0.2500 1

***

[13]
# Ce7Bi2, optimized geometry, DFT PBE
# Calculated density, g cm⁻³: 9.3
# Calculated volume, Å³ per cell: 249.1
# DFT total energy, eV per atom: -5.765
data_Ce7Bi2
_space_group_name_H-M_alt 'P 1'
_space_group_IT_number 1
_space_group_name_Hall 'P 1'
_cell_length_a 5.5162
_cell_length_b 5.5162
_cell_length_c 9.4525
_cell_angle_alpha 90.00
_cell_angle_beta 90.00
_cell_angle_gamma 120.00
loop_
_atom_site_label
_atom_site_fract_x
_atom_site_fract_y
_atom_site_fract_z
_atom_site_occupancy
Ce1 0.3333 0.6667 0.2246 1
Ce2 0.6667 0.3333 0.7754 1
Ce3 0.3333 0.6667 0.5067 1
Ce4 0.6667 0.3333 0.4933 1
Ce5 0.0000 0.0000 0.3235 1
Ce6 0.0000 0.0000 0.6765 1
Ce7 0.0000 0.0000 0.0000 1
Bi1 0.3333 0.6667 0.8588 1
Bi2 0.6667 0.3333 0.1412 1

***

[14]
# Ce2Bi3, optimized geometry, DFT PBE
# Calculated density, g cm⁻³: 9.6
# Calculated volume, Å³ per cell: 156.9
# DFT total energy, eV per atom: -5.246
data_Ce2Bi3
_space_group_name_H-M_alt 'P 1'
_space_group_IT_number 1
_space_group_name_Hall 'P 1'
_cell_length_a 4.2546
_cell_length_b 4.2546
_cell_length_c 9.1760
_cell_angle_alpha 103.41
_cell_angle_beta 103.41
_cell_angle_gamma 90.00
loop_
_atom_site_label
_atom_site_fract_x
_atom_site_fract_y
_atom_site_fract_z
_atom_site_occupancy
Ce1 0.3928 0.3928 0.7857 1
Ce2 0.6072 0.6072 0.2143 1
Bi1 0.0000 0.0000 0.0000 1
Bi2 0.1864 0.1864 0.3727 1
Bi3 0.8136 0.8136 0.6273 1

***

[15]
# Ce3Bi, optimized geometry, DFT PBE
# Calculated density, g cm⁻³: 9.1
# Calculated volume, Å³ per cell: 115.2
# DFT total energy, eV per atom: -5.601
data_Ce3Bi
_space_group_name_H-M_alt 'P 1'
_space_group_IT_number 1
_space_group_name_Hall 'P 1'
_cell_length_a 5.4609
_cell_length_b 5.4609
_cell_length_c 5.4609
_cell_angle_alpha 60.00
_cell_angle_beta 60.00
_cell_angle_gamma 60.00
loop_
_atom_site_label
_atom_site_fract_x
_atom_site_fract_y
_atom_site_fract_z
_atom_site_occupancy
Bi1 0.5000 0.5000 0.5000 1
Ce1 0.0000 0.0000 0.0000 1
Ce2 0.7500 0.7500 0.7500 1
Ce3 0.2500 0.2500 0.2500 1

***

[16]
# Ce4Bi3, optimized geometry, DFT PBE
# Calculated density, g cm⁻³: 8.7
# Calculated volume, Å³ per cell: 454.9
# DFT total energy, eV per atom: -5.739
data_Ce4Bi3
_space_group_name_H-M_alt 'P 1'
_space_group_IT_number 1
_space_group_name_Hall 'P 1'
_cell_length_a 8.3914
_cell_length_b 8.3914
_cell_length_c 8.3914
_cell_angle_alpha 109.47
_cell_angle_beta 109.47
_cell_angle_gamma 109.47
loop_
_atom_site_label
_atom_site_fract_x
_atom_site_fract_y
_atom_site_fract_z
_atom_site_occupancy
Ce1 0.6501 0.6501 0.6501 1
Ce2 0.8499 0.5000 0.0000 1
Ce3 0.5000 0.0000 0.8499 1
Ce4 0.5000 0.0000 0.3499 1
Ce5 0.3499 0.5000 0.0000 1
Ce6 0.0000 0.3499 0.5000 1
Ce7 0.1501 0.1501 0.1501 1
Ce8 0.0000 0.8499 0.5000 1
Bi1 0.7500 0.8750 0.1250 1
Bi2 0.3750 0.2500 0.6250 1
Bi3 0.2500 0.6250 0.3750 1
Bi4 0.8750 0.1250 0.7500 1
Bi5 0.6250 0.3750 0.2500 1
Bi6 0.1250 0.7500 0.8750 1

***

[17]
# CeBi3, optimized geometry, DFT PBE
# Calculated density, g cm⁻³: 10.4
# Calculated volume, Å³ per cell: 122.4
# DFT total energy, eV per atom: -4.837
data_CeBi3
_space_group_name_H-M_alt 'P 1'
_space_group_IT_number 1
_space_group_name_Hall 'P 1'
_cell_length_a 4.6713
_cell_length_b 4.6698
_cell_length_c 6.5093
_cell_angle_alpha 111.02
_cell_angle_beta 111.03
_cell_angle_gamma 90.00
loop_
_atom_site_label
_atom_site_fract_x
_atom_site_fract_y
_atom_site_fract_z
_atom_site_occupancy
Bi1 0.2499 0.6661 0.4998 1
Bi2 0.5000 0.4172 0.0000 1
Bi3 0.7501 0.1662 0.5002 1
Ce1 0.0000 0.9172 0.0000 1

***

[18]
# CeBi3, optimized geometry, DFT PBE
# Calculated density, g cm⁻³: 9.9
# Calculated volume, Å³ per cell: 256.7
# DFT total energy, eV per atom: -4.793
data_CeBi3
_space_group_name_H-M_alt 'P 1'
_space_group_IT_number 1
_space_group_name_Hall 'P 1'
_cell_length_a 4.7028
_cell_length_b 4.6324
_cell_length_c 12.0104
_cell_angle_alpha 101.12
_cell_angle_beta 90.00
_cell_angle_gamma 90.00
loop_
_atom_site_label
_atom_site_fract_x
_atom_site_fract_y
_atom_site_fract_z
_atom_site_occupancy
Ce1 0.2500 0.5705 0.1410 1
Ce2 0.7500 0.4295 0.8590 1
Bi1 0.2500 0.1787 0.3573 1
Bi2 0.7500 0.8213 0.6427 1
Bi3 0.7500 0.0535 0.1071 1
Bi4 0.2500 0.9465 0.8929 1
Bi5 0.7500 0.6791 0.3581 1
Bi6 0.2500 0.3209 0.6419 1

***

[19]
# CeBi2, optimized geometry, DFT PBE
# Calculated density, g cm⁻³: 9.8
# Calculated volume, Å³ per cell: 94.1
# DFT total energy, eV per atom: -5.023
data_CeBi2
_space_group_name_H-M_alt 'P 1'
_space_group_IT_number 1
_space_group_name_Hall 'P 1'
_cell_length_a 4.2288
_cell_length_b 4.2288
_cell_length_c 6.0535
_cell_angle_alpha 110.46
_cell_angle_beta 110.46
_cell_angle_gamma 89.97
loop_
_atom_site_label
_atom_site_fract_x
_atom_site_fract_y
_atom_site_fract_z
_atom_site_occupancy
Bi1 0.1505 0.1505 0.3009 1
Bi2 0.8495 0.8495 0.6991 1
Ce1 0.5000 0.5000 0.0000 1

***

[20]
# Ce2Bi3, optimized geometry, DFT PBE
# Calculated density, g cm⁻³: 8.7
# Calculated volume, Å³ per cell: 174.1
# DFT total energy, eV per atom: -5.122
data_Ce2Bi3
_space_group_name_H-M_alt 'P 1'
_space_group_IT_number 1
_space_group_name_Hall 'P 1'
_cell_length_a 4.7347
_cell_length_b 4.7347
_cell_length_c 8.9654
_cell_angle_alpha 90.00
_cell_angle_beta 90.00
_cell_angle_gamma 120.00
loop_
_atom_site_label
_atom_site_fract_x
_atom_site_fract_y
_atom_site_fract_z
_atom_site_occupancy
Ce1 0.6667 0.3333 0.2004 1
Ce2 0.3333 0.6667 0.7996 1
Bi1 0.0000 0.0000 0.0000 1
Bi2 0.6667 0.3333 0.5998 1
Bi3 0.3333 0.6667 0.4002 1